1.
# DyGa7Pd5 GGA-PBE relaxed
# Crystal system: orthorhombic
# Size of the total moment, μB per cell: 0.0
# DFT formation energy, eV/atom: -0.60
# Density of states at the Fermi level, states/eV/cell: 9.71
# Electronic total energy, eV/atom: -4.578
# ρ, g/cm³: 8.99
data_DyGa7Pd5
_chemical_formula_sum 'Dy2 Ga14 Pd10'
_cell_length_a 5.5185
_cell_length_b 9.1854
_cell_length_c 8.6172
_cell_angle_alpha 90.00
_cell_angle_beta 90.00
_cell_angle_gamma 90.00
_symmetry_space_group_name_H-M 'I m m 2'
_symmetry_Int_Tables_number 44
_symmetry_space_group_name_Hall 'I 2 -2'
loop_
_atom_site_label
_atom_site_type_symbol
_atom_site_fract_x
_atom_site_fract_y
_atom_site_fract_z
Dy1 Dy 0.0000 0.0000 0.0000
Ga1 Ga 0.0000 0.0000 0.3435
Ga2 Ga 0.0000 0.0000 0.6353
Ga3 Ga 0.0000 0.3088 0.5142
Ga4 Ga 0.0000 0.3434 0.9879
Ga5 Ga 0.0000 0.5000 0.2632
Pd1 Pd 0.0000 0.5000 0.7330
Pd2 Pd 0.2492 0.2705 0.2549

2.
# PmPuTeSe2 GGA-PBE relaxed
# Crystal system: tetragonal
# Size of the total moment, μB per cell: 10.0
# Density of states at the Fermi level, states/eV/cell: 29.40
# Electronic total energy, eV/atom: -7.021
# ρ, g/cm³: 7.47
# ΔE_f (raw), eV/atom: -1.18
data_PmPuTeSe2
_chemical_formula_sum 'Pm2 Pu2 Te2 Se4'
_cell_length_a 4.5872
_cell_length_b 4.5872
_cell_length_c 14.2455
_cell_angle_alpha 90.00
_cell_angle_beta 90.00
_cell_angle_gamma 90.00
_symmetry_space_group_name_H-M 'I 4 m m'
_symmetry_Int_Tables_number 107
_symmetry_space_group_name_Hall 'I 4 -2'
loop_
_atom_site_label
_atom_site_type_symbol
_atom_site_fract_x
_atom_site_fract_y
_atom_site_fract_z
Pm1 Pm 0.0000 0.0000 0.0000
Pu1 Pu 0.0000 0.0000 0.2614
Te1 Te 0.0000 0.0000 0.6309
Se1 Se 0.0000 0.5000 0.3794

3.
# YMg2AlPt4 GGA-PBE relaxed
# Crystal system: trigonal
# Size of the total moment, μB per cell: 0.0
# DFT formation energy, eV/atom: -0.97
# Density of states at the Fermi level, states/eV/cell: 11.08
# Electronic total energy, eV/atom: -5.670
# ρ, g/cm³: 11.31
data_YMg2AlPt4
_chemical_formula_sum 'Y3 Mg6 Al3 Pt12'
_cell_length_a 4.5074
_cell_length_b 4.5074
_cell_length_c 23.6517
_cell_angle_alpha 90.00
_cell_angle_beta 90.00
_cell_angle_gamma 120.00
_symmetry_space_group_name_H-M 'R -3 m'
_symmetry_Int_Tables_number 166
_symmetry_space_group_name_Hall '-R 3 2"'
loop_
_atom_site_label
_atom_site_type_symbol
_atom_site_fract_x
_atom_site_fract_y
_atom_site_fract_z
Y1 Y 0.0000 0.0000 0.0000
Mg1 Mg 0.0000 0.0000 0.2465
Al1 Al 0.0000 0.0000 0.5000
Pt1 Pt 0.0000 0.0000 0.1312
Pt2 Pt 0.0000 0.0000 0.3942

4.
# Al2CdMo2 GGA-PBE relaxed
# Crystal system: tetragonal
# Size of the total moment, μB per cell: 0.0
# DFT formation energy, eV/atom: 0.11
# Density of states at the Fermi level, states/eV/cell: 2.61
# Electronic total energy, eV/atom: -5.906
# ρ, g/cm³: 6.80
data_Al2CdMo2
_chemical_formula_sum 'Al4 Cd2 Mo4'
_cell_length_a 7.3532
_cell_length_b 7.3532
_cell_length_c 3.2383
_cell_angle_alpha 90.00
_cell_angle_beta 90.00
_cell_angle_gamma 90.00
_symmetry_space_group_name_H-M 'P 4/m b m'
_symmetry_Int_Tables_number 127
_symmetry_space_group_name_Hall '-P 4 2ab'
loop_
_atom_site_label
_atom_site_type_symbol
_atom_site_fract_x
_atom_site_fract_y
_atom_site_fract_z
Al1 Al 0.1774 0.3226 0.0000
Cd1 Cd 0.0000 0.0000 0.5000
Mo1 Mo 0.1150 0.6150 0.5000

5.
# YGe4Rh2 GGA-PBE relaxed
# Crystal system: orthorhombic
# Size of the total moment, μB per cell: 0.0
# DFT formation energy, eV/atom: -0.64
# Density of states at the Fermi level, states/eV/cell: 10.13
# Electronic total energy, eV/atom: -6.304
# ρ, g/cm³: 7.93
data_YGe4Rh2
_chemical_formula_sum 'Y4 Ge16 Rh8'
_cell_length_a 17.2590
_cell_length_b 4.2354
_cell_length_c 6.7049
_cell_angle_alpha 90.00
_cell_angle_beta 90.00
_cell_angle_gamma 90.00
_symmetry_space_group_name_H-M 'P n m a'
_symmetry_Int_Tables_number 62
_symmetry_space_group_name_Hall '-P 2ac 2n'
loop_
_atom_site_label
_atom_site_type_symbol
_atom_site_fract_x
_atom_site_fract_y
_atom_site_fract_z
Y1 Y 0.1418 0.2500 0.0026
Ge1 Ge 0.0345 0.7500 0.8652
Ge2 Ge 0.0653 0.2500 0.4667
Ge3 Ge 0.1814 0.7500 0.3058
Ge4 Ge 0.1930 0.7500 0.7240
Rh1 Rh 0.0312 0.7500 0.2491
Rh2 Rh 0.2110 0.2500 0.5194

6.
# LuMgScHg GGA-PBE relaxed
# Crystal system: cubic
# Size of the total moment, μB per cell: 0.3
# DFT formation energy, eV/atom: -0.23
# Density of states at the Fermi level, states/eV/cell: 16.38
# Electronic total energy, eV/atom: -3.420
# ρ, g/cm³: 7.88
data_LuMgScHg
_chemical_formula_sum 'Lu4 Mg4 Sc4 Hg4'
_cell_length_a 7.2104
_cell_length_b 7.2104
_cell_length_c 7.2104
_cell_angle_alpha 90.00
_cell_angle_beta 90.00
_cell_angle_gamma 90.00
_symmetry_space_group_name_H-M 'F -4 3 m'
_symmetry_Int_Tables_number 216
_symmetry_space_group_name_Hall 'F -4 2 3'
loop_
_atom_site_label
_atom_site_type_symbol
_atom_site_fract_x
_atom_site_fract_y
_atom_site_fract_z
Lu1 Lu 0.0000 0.0000 0.0000
Mg1 Mg 0.2500 0.2500 0.2500
Sc1 Sc 0.0000 0.0000 0.5000
Hg1 Hg 0.2500 0.2500 0.7500

7.
# SrCa4Rh2 GGA-PBE relaxed
# Crystal system: orthorhombic
# Size of the total moment, μB per cell: 0.0
# DFT formation energy, eV/atom: -0.25
# Density of states at the Fermi level, states/eV/cell: 17.14
# Electronic total energy, eV/atom: -3.731
# ρ, g/cm³: 3.43
data_SrCa4Rh2
_chemical_formula_sum 'Sr4 Ca16 Rh8'
_cell_length_a 8.0686
_cell_length_b 16.7524
_cell_length_c 6.5096
_cell_angle_alpha 90.00
_cell_angle_beta 90.00
_cell_angle_gamma 90.00
_symmetry_space_group_name_H-M 'I m a 2'
_symmetry_Int_Tables_number 46
_symmetry_space_group_name_Hall 'I 2 -2a'
loop_
_atom_site_label
_atom_site_type_symbol
_atom_site_fract_x
_atom_site_fract_y
_atom_site_fract_z
Sr1 Sr 0.2500 0.1104 0.0000
Ca1 Ca 0.0049 0.6815 0.0409
Ca2 Ca 0.2500 0.5073 0.9991
Ca3 Ca 0.2500 0.6110 0.4891
Rh1 Rh 0.0000 0.0000 0.7893
Rh2 Rh 0.2500 0.7413 0.7770

8.
# Ac4Cd5Ag2 GGA-PBE relaxed
# Crystal system: monoclinic
# Size of the total moment, μB per cell: 0.0
# DFT formation energy, eV/atom: -0.26
# Density of states at the Fermi level, states/eV/cell: 9.36
# Electronic total energy, eV/atom: -2.685
# ρ, g/cm³: 8.21
data_Ac4Cd5Ag2
_chemical_formula_sum 'Ac4 Cd5 Ag2'
_cell_length_a 8.0232
_cell_length_b 4.1671
_cell_length_c 10.2285
_cell_angle_alpha 90.00
_cell_angle_beta 94.24
_cell_angle_gamma 90.00
_symmetry_space_group_name_H-M 'P 1 2/m 1'
_symmetry_Int_Tables_number 10
_symmetry_space_group_name_Hall '-P 2y'
loop_
_atom_site_label
_atom_site_type_symbol
_atom_site_fract_x
_atom_site_fract_y
_atom_site_fract_z
Ac1 Ac 0.1752 0.0000 0.3726
Ac2 Ac 0.2553 0.0000 0.9385
Cd1 Cd 0.1925 0.5000 0.6551
Cd2 Cd 0.4450 0.5000 0.1991
Cd3 Cd 0.5000 0.5000 0.5000
Ag1 Ag 0.0637 0.5000 0.1356

9.
# Li2TcNi GGA-PBE relaxed
# Crystal system: orthorhombic
# Size of the total moment, μB per cell: 0.0
# DFT formation energy, eV/atom: 0.15
# Density of states at the Fermi level, states/eV/cell: 5.20
# Electronic total energy, eV/atom: -4.840
# ρ, g/cm³: 5.42
data_Li2TcNi
_chemical_formula_sum 'Li4 Tc2 Ni2'
_cell_length_a 2.8767
_cell_length_b 4.1363
_cell_length_c 8.7808
_cell_angle_alpha 90.00
_cell_angle_beta 90.00
_cell_angle_gamma 90.00
_symmetry_space_group_name_H-M 'C m m m'
_symmetry_Int_Tables_number 65
_symmetry_space_group_name_Hall '-C 2 2'
loop_
_atom_site_label
_atom_site_type_symbol
_atom_site_fract_x
_atom_site_fract_y
_atom_site_fract_z
Li1 Li 0.0000 0.0000 0.2345
Tc1 Tc 0.0000 0.5000 0.5000
Ni1 Ni 0.0000 0.5000 0.0000

10.
# RbTi2TlBr8 GGA-PBE relaxed
# Crystal system: trigonal
# Size of the total moment, μB per cell: 2.0
# Density of states at the Fermi level, states/eV/cell: 13.19
# Electronic total energy, eV/atom: -3.884
# ρ, g/cm³: 3.40
# ΔE_f (raw), eV/atom: -1.18
data_RbTi2TlBr8
_chemical_formula_sum 'Rb1 Ti2 Tl1 Br8'
_cell_length_a 7.2080
_cell_length_b 7.2080
_cell_length_c 11.1145
_cell_angle_alpha 90.00
_cell_angle_beta 90.00
_cell_angle_gamma 120.00
_symmetry_space_group_name_H-M 'P -3'
_symmetry_Int_Tables_number 147
_symmetry_space_group_name_Hall '-P 3'
loop_
_atom_site_label
_atom_site_type_symbol
_atom_site_fract_x
_atom_site_fract_y
_atom_site_fract_z
Rb1 Rb 0.0000 0.0000 0.0000
Ti1 Ti 0.3333 0.6667 0.7762
Tl1 Tl 0.0000 0.0000 0.5000
Br1 Br 0.0151 0.3399 0.7113
Br2 Br 0.3333 0.6667 0.9937